# 1
The following is a DFT calculation (GGA-PBE) of crystalline TaSnPt2O at its relaxed geometry.

The space group is P4/mmm (No. 123) and the conventional cell measures 5.123, 5.123 and 3.842 Å, with angles of 90.00, 90.00 and 90.00 degrees. The asymmetric unit holds Ta at (0.000, 0.000, 0.000), Sn at (0.500, 0.500, 0.500), Pt at (0.000, 0.500, 0.000) and O at (0.000, 0.000, 0.500).

The value obtained for the total energy is -7.07 eV per atom. The magnetization comes out at 0.0 μB per formula unit. The value obtained for the energy relative to the elements, uncorrected is -0.49 eV per atom.

# 2
The following is a DFT calculation (GGA-PBE) of crystalline Gd2InAg at its relaxed geometry.

The space group is R-3m (No. 166, hexagonal axes) and the conventional cell measures 3.7611, 3.7611 and 27.7395 Å, with angles of 90.00, 90.00 and 120.00 degrees. The asymmetric unit holds Gd at (0.0000, 0.0000, 0.2459), In at (0.0000, 0.0000, 0.0000) and Ag at (0.0000, 0.0000, 0.5000).

The value obtained for the total energy is -8.63 eV per atom. The magnetization comes out at 15.1 μB per formula unit. The value obtained for the formation energy is -0.76 eV per formula unit.

# 3
The following is a DFT calculation (GGA-PBE) of crystalline LiAl2Ru at its relaxed geometry.

The space group is R-3m (No. 166, hexagonal axes) and the conventional cell measures 2.9039, 2.9039 and 26.0990 Å, with angles of 90.00, 90.00 and 120.00 degrees. The asymmetric unit holds Li at (0.0000, 0.0000, 0.0000), Al at (0.0000, 0.0000, 0.2404) and Ru at (0.0000, 0.0000, 0.5000).

The value obtained for the total energy is -4.88 eV per atom. The magnetization comes out at 0.0 μB per formula unit. The value obtained for the formation energy is -0.84 eV per formula unit.

# 4
The following is a DFT calculation (GGA-PBE) of crystalline CaTcBr2 at its relaxed geometry.

The space group is F-43m (No. 216) and the conventional cell measures 7.404, 7.404 and 7.404 Å, with angles of 90.00, 90.00 and 90.00 degrees. The asymmetric unit holds Ca at (0.000, 0.000, 0.000), Tc at (0.250, 0.250, 0.750), Br at (0.000, 0.000, 0.500) and Br at (0.250, 0.250, 0.250).

The value obtained for the total energy is -3.57 eV per atom. The magnetization comes out at 3.5 μB per formula unit. As for the offset from the most stable computed form: 69.4 kJ per mole of atoms. The value obtained for the energy relative to the elements, uncorrected is 0.36 eV per atom.

# 5
The following is a DFT calculation (GGA-PBE) of crystalline EuYTlCd at its relaxed geometry.

The space group is F-43m (No. 216) and the conventional cell measures 7.719, 7.719 and 7.719 Å, with angles of 90.00, 90.00 and 90.00 degrees. The asymmetric unit holds Eu at (0.000, 0.000, 0.000), Y at (0.000, 0.000, 0.500), Tl at (0.250, 0.250, 0.250) and Cd at (0.250, 0.250, 0.750).

The value obtained for the total energy is -5.37 eV per atom. The magnetization comes out at 7.3 μB per formula unit. The value obtained for the formation energy is -1.46 eV per formula unit.

# 6
The following is a DFT calculation (GGA-PBE) of crystalline Nd6AlNi2Br3 at its relaxed geometry.

The space group is C2/m (No. 12) and the conventional cell measures 19.459, 4.017 and 9.212 Å, with angles of 90.00, 108.34 and 90.00 degrees. The asymmetric unit holds Nd at (0.013, 0.000, 0.251), Nd at (0.163, 0.500, 0.123), Nd at (0.179, 0.500, 0.552), Al at (0.000, 0.500, 0.000), Ni at (0.167, 0.000, 0.337), Br at (0.000, 0.500, 0.500) and Br at (0.162, 0.000, 0.835).

The value obtained for the total energy is -4.83 eV per atom. The magnetization comes out at 0.0 μB per formula unit. The value obtained for the energy relative to the elements, uncorrected is -0.75 eV per atom.

Question: Which value of magnetization does entry 6 give?
Answer: 0.0 μB per formula unit

Question: The highest magnetization belongs to which entry?
Answer: Gd2InAg

Please write out number 1 again, unchanged.
The following is a DFT calculation (GGA-PBE) of crystalline TaSnPt2O at its relaxed geometry.

The space group is P4/mmm (No. 123) and the conventional cell measures 5.123, 5.123 and 3.842 Å, with angles of 90.00, 90.00 and 90.00 degrees. The asymmetric unit holds Ta at (0.000, 0.000, 0.000), Sn at (0.500, 0.500, 0.500), Pt at (0.000, 0.500, 0.000) and O at (0.000, 0.000, 0.500).

The value obtained for the total energy is -7.07 eV per atom. The magnetization comes out at 0.0 μB per formula unit. The value obtained for the energy relative to the elements, uncorrected is -0.49 eV per atom.

Question: Number 1 is which compound?
Answer: TaSnPt2O